No. 1
VASP calculation (PBEsol) on an optimized crystal structure of Al2HgCl.

The structure in CIF format:
```
data_Al2HgCl
_cell_length_a 4.9192
_cell_length_b 4.9192
_cell_length_c 4.9192
_cell_angle_alpha 60.00
_cell_angle_beta 60.00
_cell_angle_gamma 60.00
_symmetry_space_group_name_H-M 'P 1'
_symmetry_Int_Tables_number 1
_symmetry_space_group_name_Hall 'P 1'
loop_
_atom_site_label
_atom_site_type_symbol
_atom_site_fract_x
_atom_site_fract_y
_atom_site_fract_z
Hg1 Hg 0.2500 0.2500 0.2500
Al1 Al 0.7500 0.7500 0.7500
Al2 Al 0.0000 0.0000 0.0000
Cl1 Cl 0.5000 0.5000 0.5000
```

Summary:
total magnetic moment: 0.001 μB per cell
offset from the most stable computed form: 5.89 kcal/mol of atoms
uncorrected formation energy: 0.18 eV per atom

No. 2
VASP calculation (PBEsol) on an optimized crystal structure of AlHg2Cl.

The structure in CIF format:
```
data_AlHg2Cl
_cell_length_a 6.6137
_cell_length_b 6.6137
_cell_length_c 7.2446
_cell_angle_alpha 117.16
_cell_angle_beta 117.16
_cell_angle_gamma 90.00
_symmetry_space_group_name_H-M 'P 1'
_symmetry_Int_Tables_number 1
_symmetry_space_group_name_Hall 'P 1'
loop_
_atom_site_label
_atom_site_type_symbol
_atom_site_fract_x
_atom_site_fract_y
_atom_site_fract_z
Cl1 Cl 0.0000 0.0000 0.0000
Hg1 Hg 0.4067 0.8750 0.2500
Hg2 Hg 0.1250 0.1567 0.7500
Hg3 Hg 0.6250 0.5933 0.7500
Cl2 Cl 0.2500 0.7500 0.5000
Al1 Al 0.5000 0.5000 0.0000
Hg4 Hg 0.8433 0.3750 0.2500
Al2 Al 0.7500 0.2500 0.5000
```

Summary:
total magnetic moment: 0.000 μB per cell
offset from the most stable computed form: 5.31 kcal/mol of atoms
uncorrected formation energy: -0.02 eV per atom

No. 3
VASP calculation (PBEsol) on an optimized crystal structure of AlHg2Cl.

The structure in CIF format:
```
data_AlHg2Cl
_cell_length_a 5.0631
_cell_length_b 5.0631
_cell_length_c 5.0631
_cell_angle_alpha 60.00
_cell_angle_beta 60.00
_cell_angle_gamma 60.00
_symmetry_space_group_name_H-M 'P 1'
_symmetry_Int_Tables_number 1
_symmetry_space_group_name_Hall 'P 1'
loop_
_atom_site_label
_atom_site_type_symbol
_atom_site_fract_x
_atom_site_fract_y
_atom_site_fract_z
Al1 Al 0.5000 0.5000 0.5000
Hg1 Hg 0.7500 0.7500 0.7500
Cl1 Cl 0.2500 0.2500 0.2500
Hg2 Hg 0.0000 0.0000 0.0000
```

Summary:
total magnetic moment: 0.000 μB per cell
offset from the most stable computed form: 4.37 kcal/mol of atoms
uncorrected formation energy: -0.06 eV per atom

No. 4
VASP calculation (PBEsol) on an optimized crystal structure of AlHg2Cl.

The structure in CIF format:
```
data_AlHg2Cl
_cell_length_a 3.2699
_cell_length_b 5.0284
_cell_length_c 6.0472
_cell_angle_alpha 111.92
_cell_angle_beta 90.00
_cell_angle_gamma 90.00
_symmetry_space_group_name_H-M 'P 1'
_symmetry_Int_Tables_number 1
_symmetry_space_group_name_Hall 'P 1'
loop_
_atom_site_label
_atom_site_type_symbol
_atom_site_fract_x
_atom_site_fract_y
_atom_site_fract_z
Hg1 Hg 0.0000 0.0299 0.0385
Al1 Al 0.0000 0.9951 0.5819
Hg2 Hg 0.5000 0.6123 0.2304
Cl1 Cl 0.5000 0.3626 0.6491
```

Summary:
total magnetic moment: 0.000 μB per cell
offset from the most stable computed form: 0.00 kcal/mol of atoms
uncorrected formation energy: -0.25 eV per atom